Record 1
Here is a geometry-optimized MgScTc structure from the Alexandria database. Energies are from PBE.

## Properties
Polymorph energy (0 for the lowest one): 211 meV per atom
Energy of formation: 249.4 meV per atom

Cell: 5.8356 5.8356 13.0489 Å, 90.00 90.00 120.00°
Fractional positions:
Mg1 0.0000 0.0000 0.0000
Mg2 0.0000 0.0000 0.3333
Mg3 0.0000 0.0000 0.6667
Mg4 0.0000 0.5000 0.1667
Mg5 0.5000 0.0000 0.5000
Mg6 0.5000 0.5000 0.8333
Sc1 0.0000 0.5000 0.4750
Sc2 0.0000 0.5000 0.8584
Sc3 0.5000 0.0000 0.1917
Sc4 0.5000 0.0000 0.8083
Sc5 0.5000 0.5000 0.1416
Sc6 0.5000 0.5000 0.5250
Tc1 0.2358 0.6179 0.6667
Tc2 0.3821 0.6179 0.3333
Tc3 0.3821 0.7642 0.0000
Tc4 0.6179 0.2358 0.0000
Tc5 0.6179 0.3821 0.3333
Tc6 0.7642 0.3821 0.6667

=====

Record 2
Here is a geometry-optimized KHfBr2 structure from the Alexandria database. Energies are from PBE.

## Properties
Polymorph energy (0 for the lowest one): 487 meV per atom
Formation energy (no corrections): -0.138 eV per atom

Cell: 7.6157 7.6157 7.6157 Å, 90.00 90.00 90.00°
Fractional positions:
K1 0.0000 0.0000 0.0000
K2 0.0000 0.5000 0.5000
K3 0.5000 0.0000 0.5000
K4 0.5000 0.5000 0.0000
Hf1 0.0000 0.0000 0.5000
Hf2 0.0000 0.5000 0.0000
Hf3 0.5000 0.0000 0.0000
Hf4 0.5000 0.5000 0.5000
Br1 0.2500 0.2500 0.2500
Br2 0.2500 0.2500 0.7500
Br3 0.2500 0.7500 0.2500
Br4 0.2500 0.7500 0.7500
Br5 0.7500 0.2500 0.2500
Br6 0.7500 0.2500 0.7500
Br7 0.7500 0.7500 0.2500
Br8 0.7500 0.7500 0.7500

=====

Record 3
Here is a geometry-optimized ScTlN2 structure from the Alexandria database. Energies are from PBE.

## Properties
Polymorph energy (0 for the lowest one): 130 meV per atom
Formation energy (no corrections): -0.212 eV per atom

Cell: 3.4691 3.4691 18.4848 Å, 90.00 90.00 120.00°
Fractional positions:
Sc1 0.0000 0.0000 0.0000
Sc2 0.3333 0.6667 0.6667
Sc3 0.6667 0.3333 0.3333
Tl1 0.0000 0.0000 0.5000
Tl2 0.3333 0.6667 0.1667
Tl3 0.6667 0.3333 0.8333
N1 0.0000 0.0000 0.3905
N2 0.0000 0.0000 0.6095
N3 0.3333 0.6667 0.0572
N4 0.3333 0.6667 0.2761
N5 0.6667 0.3333 0.7239
N6 0.6667 0.3333 0.9428

=====

Record 4
Here is a geometry-optimized CaHgMo2 structure from the Alexandria database. Energies are from PBE.

## Properties
Energy of formation: 710.0 meV per atom

Cell: 3.7332 3.7332 6.5072 Å, 90.00 90.00 90.00°
Fractional positions:
Ca1 0.0000 0.0000 0.0000
Hg1 0.0000 0.0000 0.5000
Mo1 0.5000 0.5000 0.3293
Mo2 0.5000 0.5000 0.6707

=====

Record 5
Here is a geometry-optimized SbPbW2 structure from the Alexandria database. Energies are from PBE.

## Properties
Polymorph energy (0 for the lowest one): 166 meV per atom
Formation energy (no corrections): 0.543 eV per atom

Cell: 3.4711 4.9336 10.4058 Å, 90.00 90.00 90.00°
Fractional positions:
Sb1 0.0000 0.0000 0.0000
Sb2 0.5000 0.5000 0.0000
Pb1 0.0000 0.5000 0.3487
Pb2 0.5000 0.0000 0.3487
W1 0.0000 0.0000 0.5914
W2 0.0000 0.5000 0.7794
W3 0.5000 0.0000 0.7794
W4 0.5000 0.5000 0.5914

=====

Record 6
Here is a geometry-optimized CaCu4Ag structure from the Alexandria database. Energies are from PBE.

## Properties
Energy of formation: -121.1 meV per atom

Cell: 5.0939 5.0939 5.0939 Å, 60.00 60.00 60.00°
Fractional positions:
Ca1 0.0000 0.0000 0.0000
Cu1 0.1273 0.6242 0.6242
Cu2 0.6242 0.1273 0.6242
Cu3 0.6242 0.6242 0.1273
Cu4 0.6242 0.6242 0.6242
Ag1 0.2500 0.2500 0.2500

=====

Record 7
Here is a geometry-optimized Er2Al3Cu2 structure from the Alexandria database. Energies are from PBE.

## Properties
Energy of formation: -431.5 meV per atom

Cell: 10.2031 4.1448 6.7873 Å, 90.00 115.96 90.00°
Fractional positions:
Er1 0.1458 0.0000 0.2822
Er2 0.3542 0.5000 0.7178
Er3 0.6458 0.5000 0.2822
Er4 0.8542 0.0000 0.7178
Al1 0.0000 0.5000 0.5000
Al2 0.1199 0.5000 0.9379
Al3 0.3801 0.0000 0.0621
Al4 0.5000 0.0000 0.5000
Al5 0.6199 0.0000 0.9379
Al6 0.8801 0.5000 0.0621
Cu1 0.1416 0.0000 0.7237
Cu2 0.3584 0.5000 0.2763
Cu3 0.6416 0.5000 0.7237
Cu4 0.8584 0.0000 0.2763

=====

Record 8
Here is a geometry-optimized BaLaP2S8 structure from the Alexandria database. Energies are from PBE.

## Properties
Formation energy (no corrections): -0.876 eV per atom

Cell: 6.1123 6.1123 9.6094 Å, 90.00 90.00 120.00°
Fractional positions:
Ba1 0.0000 0.0000 0.0000
La1 0.0000 0.0000 0.5000
P1 0.3333 0.6667 0.7633
P2 0.6667 0.3333 0.2367
S1 0.0021 0.3558 0.7013
S2 0.3333 0.6667 0.9751
S3 0.3537 0.9979 0.7013
S4 0.3558 0.3537 0.2987
S5 0.6442 0.6463 0.7013
S6 0.6463 0.0021 0.2987
S7 0.6667 0.3333 0.0249
S8 0.9979 0.6442 0.2987

=====

Record 9
Here is a geometry-optimized Er2CdPt3 structure from the Alexandria database. Energies are from PBE.

## Properties
Polymorph energy (0 for the lowest one): 0 meV per atom
Energy of formation: -994.0 meV per atom

Cell: 3.4710 3.4710 9.8666 Å, 90.00 90.00 90.00°
Fractional positions:
Er1 0.0000 0.0000 0.1780
Er2 0.0000 0.0000 0.8220
Cd1 0.0000 0.0000 0.5000
Pt1 0.5000 0.5000 0.0000
Pt2 0.5000 0.5000 0.3390
Pt3 0.5000 0.5000 0.6610

=====

Record 10
Here is a geometry-optimized Sm2ZnRe structure from the Alexandria database. Energies are from PBE.

## Properties
Energy of formation: 766.9 meV per atom

Cell: 3.1043 3.1043 32.6699 Å, 90.00 90.00 120.00°
Fractional positions:
Sm1 0.0000 0.0000 0.0863
Sm2 0.0000 0.0000 0.9137
Sm3 0.3333 0.6667 0.5804
Sm4 0.3333 0.6667 0.7529
Sm5 0.6667 0.3333 0.2471
Sm6 0.6667 0.3333 0.4196
Zn1 0.0000 0.0000 0.5000
Zn2 0.3333 0.6667 0.1667
Zn3 0.6667 0.3333 0.8333
Re1 0.0000 0.0000 0.0000
Re2 0.3333 0.6667 0.6667
Re3 0.6667 0.3333 0.3333

=====

Record 11
Here is a geometry-optimized LiYRu2 structure from the Alexandria database. Energies are from PBE.

## Properties
Polymorph energy (0 for the lowest one): 102 meV per atom
Energy of formation: 186.2 meV per atom

Cell: 3.9594 3.9594 8.5965 Å, 90.00 90.00 90.00°
Fractional positions:
Li1 0.0000 0.0000 0.0000
Li2 0.5000 0.5000 0.5000
Y1 0.0000 0.0000 0.5000
Y2 0.5000 0.5000 0.0000
Ru1 0.0000 0.5000 0.2500
Ru2 0.0000 0.5000 0.7500
Ru3 0.5000 0.0000 0.2500
Ru4 0.5000 0.0000 0.7500

=====

Record 12
Here is a geometry-optimized TiV2B structure from the Alexandria database. Energies are from PBE.

## Properties
Energy of formation: -102.3 meV per atom

Cell: 2.9449 2.9449 20.7610 Å, 90.00 90.00 120.00°
Fractional positions:
Ti1 0.0000 0.0000 0.0000
Ti2 0.3333 0.6667 0.6667
Ti3 0.6667 0.3333 0.3333
V1 0.0000 0.0000 0.2258
V2 0.0000 0.0000 0.7742
V3 0.3333 0.6667 0.4409
V4 0.3333 0.6667 0.8925
V5 0.6667 0.3333 0.1075
V6 0.6667 0.3333 0.5591
B1 0.0000 0.0000 0.5000
B2 0.3333 0.6667 0.1667
B3 0.6667 0.3333 0.8333

=====

Raw total energy in eV/atom, matching the order above: -5.848 -3.737 -6.549 -5.281 -7.891 -3.661 -4.509 -5.100 -5.688 -5.023 -6.546 -8.305